No. 1
{
  "formula": "Na2HgGeSe4",
  "functional": "PBE",
  "state": "optimized geometry",
  "spacegroup": "Pmn2_1 (31)",
  "energy_ev_per_atom": -3.282,
  "density_g_cm3": 4.34,
  "lattice_angstrom": [[8.3513, 0.0000, 0.0000], [0.0000, 8.0928, 0.0000], [0.0000, 0.0000, 7.1936]],
  "species": ["Na", "Na", "Na", "Na", "Hg", "Hg", "Ge", "Ge", "Se", "Se", "Se", "Se", "Se", "Se", "Se", "Se"],
  "fractional_positions": [[0.2421, 0.1742, 0.0000], [0.2579, 0.8258, 0.5000], [0.7421, 0.8258, 0.5000], [0.7579, 0.1742, 0.0000], [0.0000, 0.3614, 0.4852], [0.5000, 0.6386, 0.9852], [0.0000, 0.6641, 0.9940], [0.5000, 0.3359, 0.4940], [0.0000, 0.3941, 0.8663], [0.0000, 0.6592, 0.3257], [0.2309, 0.8225, 0.9009], [0.2691, 0.1775, 0.4009], [0.5000, 0.3408, 0.8257], [0.5000, 0.6059, 0.3663], [0.7309, 0.1775, 0.4009], [0.7691, 0.8225, 0.9009]]
}

***

No. 2
{
  "formula": "NaSmHgGe",
  "functional": "PBE",
  "state": "optimized geometry",
  "spacegroup": "F-43m (216)",
  "energy_ev_per_atom": -3.144,
  "formation_energy_ev_per_atom": -0.405,
  "density_g_cm3": 7.61,
  "lattice_angstrom": [[0.0000, 3.6520, 3.6520], [3.6520, 0.0000, 3.6520], [3.6520, 3.6520, 0.0000]],
  "species": ["Na", "Sm", "Hg", "Ge"],
  "fractional_positions": [[0.0000, 0.0000, 0.0000], [0.5000, 0.5000, 0.5000], [0.2500, 0.2500, 0.2500], [0.7500, 0.7500, 0.7500]]
}

***

No. 3
{
  "formula": "NaSrHgGe",
  "functional": "PBE",
  "state": "optimized geometry",
  "spacegroup": "F-43m (216)",
  "energy_ev_per_atom": -2.277,
  "formation_energy_ev_per_atom": -0.297,
  "density_g_cm3": 5.89,
  "lattice_angstrom": [[0.0000, 3.7823, 3.7823], [3.7823, 0.0000, 3.7823], [3.7823, 3.7823, 0.0000]],
  "species": ["Na", "Sr", "Hg", "Ge"],
  "fractional_positions": [[0.0000, 0.0000, 0.0000], [0.5000, 0.5000, 0.5000], [0.2500, 0.2500, 0.2500], [0.7500, 0.7500, 0.7500]]
}

***

No. 4
{
  "formula": "NaTbHgGe",
  "functional": "PBE",
  "state": "optimized geometry",
  "spacegroup": "F-43m (216)",
  "energy_ev_per_atom": -3.113,
  "formation_energy_ev_per_atom": -0.396,
  "density_g_cm3": 8.00,
  "lattice_angstrom": [[0.0000, 3.6151, 3.6151], [3.6151, 0.0000, 3.6151], [3.6151, 3.6151, 0.0000]],
  "species": ["Na", "Tb", "Hg", "Ge"],
  "fractional_positions": [[0.0000, 0.0000, 0.0000], [0.5000, 0.5000, 0.5000], [0.7500, 0.7500, 0.7500], [0.2500, 0.2500, 0.2500]]
}

***

No. 5
{
  "formula": "NaTcHgGe2",
  "functional": "PBE",
  "state": "optimized geometry",
  "spacegroup": "P4/mmm (123)",
  "energy_ev_per_atom": -4.199,
  "formation_energy_ev_per_atom": 0.045,
  "density_g_cm3": 6.24,
  "lattice_angstrom": [[4.7844, 0.0000, 0.0000], [0.0000, 4.7844, 0.0000], [0.0000, 0.0000, 5.4300]],
  "species": ["Na", "Tc", "Hg", "Ge", "Ge"],
  "fractional_positions": [[0.0000, 0.0000, 0.0000], [0.5000, 0.5000, 0.5000], [0.5000, 0.5000, 0.0000], [0.0000, 0.5000, 0.5000], [0.5000, 0.0000, 0.5000]]
}

***

No. 6
{
  "formula": "NaHg2GeTe4",
  "functional": "PBE",
  "state": "optimized geometry",
  "spacegroup": "Fmm2 (42)",
  "energy_ev_per_atom": -2.605,
  "density_g_cm3": 5.54,
  "lattice_angstrom": [[0.0000, 4.8219, 6.4937], [4.8172, 0.0000, 6.4937], [4.8172, 4.8219, 0.0000]],
  "species": ["Na", "Hg", "Hg", "Ge", "Te", "Te", "Te", "Te"],
  "fractional_positions": [[0.0000, 0.0000, 0.0000], [0.2508, 0.2508, 0.2492], [0.7508, 0.7508, 0.7492], [0.5011, 0.5011, 0.4989], [0.1469, 0.6035, 0.3965], [0.3976, 0.8556, 0.6024], [0.6035, 0.1469, 0.8531], [0.8556, 0.3976, 0.1444]]
}

***

Number 2 is which compound?
NaSmHgGe